Rb2As2Pt3: relaxed, GGA-PBE.

- DFT total energy (Ry per atom) = -0.339
- M_tot (μB per cell) = 0.00
- crystal system = monoclinic

Cell: 4.041 6.767 7.546 Å, 70.32 74.47 72.63°
Fractional coordinates of all 7 atoms:
Pt: 0.673 0.042 0.612
Pt: 0.327 0.958 0.388
Pt: 0.500 0.000 0.000
As: 0.152 0.906 0.790
As: 0.848 0.094 0.210
Rb: 0.889 0.465 0.757
Rb: 0.111 0.535 0.243


TmLuCoPd: relaxed, GGA-PBE.

- DFT total energy (Ry per atom) = -0.433
- M_tot (μB per cell) = 0.01
- crystal system = cubic

Cell: 4.760 4.760 4.760 Å, 60.00 60.00 60.00°
Fractional coordinates of all 4 atoms:
Lu: 0.250 0.250 0.250
Co: 0.500 0.500 0.500
Tm: 0.750 0.750 0.750
Pd: 0.000 0.000 0.000


CrCoMoRu: relaxed, GGA-PBE.

- DFT total energy (Ry per atom) = -0.661
- M_tot (μB per cell) = 1.93
- crystal system = cubic

Cell: 4.209 4.209 4.209 Å, 60.00 60.00 60.00°
Each line ends with the local moment (μB).
Fractional coordinates of all 4 atoms:
Co: 0.000 0.000 0.000  1.36
Cr: 0.500 0.500 0.500  0.15
Mo: 0.750 0.750 0.750  0.09
Ru: 0.250 0.250 0.250  0.32


> DFT total energy of number 1 (Rb2As2Pt3)?

-0.339 Ry per atom


> Number 1 is which compound?

Rb2As2Pt3


> M_tot of number 1 (Rb2As2Pt3)?

0.00 μB per cell


> Number 1 is which compound?

Rb2As2Pt3